Entry 1:
{
  "formula": "MoPb",
  "functional": "PBE",
  "state": "optimized geometry",
  "lattice_angstrom": [[-4.620, -1.639, -3.598], [1.273, -5.856, 1.032], [-3.409, 0.028, 4.364]],
  "species": ["Mo", "Mo", "Mo", "Mo", "Pb", "Pb", "Pb", "Pb"],
  "frac_coords": [[0.132, 0.132, 0.500], [0.868, 0.868, 0.500], [0.368, 0.632, 0.000], [0.632, 0.368, 0.000], [0.811, 0.811, 0.000], [0.189, 0.189, 0.000], [0.689, 0.311, 0.500], [0.311, 0.689, 0.500]],
  "e_tot_ev_per_fu": -12.4,
  "crystal_system": "tetragonal",
  "polymorph_energy_ev_per_atom": 0.738
}

=====

Entry 2:
{
  "formula": "YCdIn",
  "functional": "PBE",
  "state": "optimized geometry",
  "lattice_angstrom": [[4.667, 0.000, 0.000], [0.000, 4.496, -0.009], [0.000, 2.270, 7.271]],
  "species": ["Y", "Y", "Cd", "Cd", "In", "In"],
  "frac_coords": [[0.240, 0.707, 0.777], [0.240, 0.022, 0.147], [0.740, 0.864, 0.462], [0.240, 0.364, 0.462], [0.740, 0.537, 0.116], [0.740, 0.191, 0.808]],
  "e_tot_ev_per_fu": -11.2,
  "crystal_system": "monoclinic"
}

=====

Entry 3:
{
  "formula": "PuTiPd4",
  "functional": "PBE",
  "state": "optimized geometry",
  "lattice_angstrom": [[-0.178, 3.790, -1.473], [0.468, -2.206, -5.730], [-8.537, -2.486, 0.260]],
  "species": ["Pd", "Pd", "Pd", "Pd", "Pd", "Pd", "Pd", "Pd", "Ti", "Ti", "Pu", "Pu"],
  "frac_coords": [[0.336, 0.033, 0.673], [0.336, 0.467, 0.673], [0.078, 0.750, 0.155], [0.664, 0.967, 0.327], [0.500, 0.000, 0.000], [0.922, 0.250, 0.845], [0.500, 0.500, 0.000], [0.664, 0.533, 0.327], [0.230, 0.750, 0.459], [0.770, 0.250, 0.541], [0.905, 0.750, 0.810], [0.095, 0.250, 0.190]],
  "e_tot_ev_per_fu": -45.8,
  "crystal_system": "orthorhombic",
  "polymorph_energy_ev_per_atom": 0.000
}

=====

| no. | E_form (eV per formula unit) | volume (Å³ per cell) |
| --- | --- | --- |
| 1 | 2.1 | 204.8 |
| 2 | -1.1 | 152.7 |
| 3 | -2.8 | 217.0 |